(1)
Here is a geometry-optimized Cd2RhW structure from the Alexandria database. Energies are from PBE-GGA.

Results
- energy above the most stable polymorph in this dataset (meV per atom) = 384
- SG = Cmmm, No. 65
- magnetization (μB per formula unit) = 0.0
- DFT total energy (Ry per atom) = -0.3732

Unit cell a=5.2732 b=5.2732 c=2.8334 alpha=90.00 beta=90.00 gamma=117.43
Last column: nearest neighbours and their distance in Å.
Sites, in units of the cell vectors:
Cd 0.5000 0.0000 0.0000  4 Cd 2.74-2.83, 4 W 2.99, 4 Rh 2.99
Cd 0.0000 0.5000 0.0000  4 Cd 2.74-2.83, 4 W 2.99, 4 Rh 2.99
Rh 0.0000 0.0000 0.5000  2 W 2.74, 2 Rh 2.83, 8 Cd 2.99
W 0.5000 0.5000 0.5000  2 Rh 2.74, 2 W 2.83, 8 Cd 2.99


(2)
Here is a geometry-optimized Cd2RhW structure from the Alexandria database. Energies are from PBE-GGA.

Results
- energy above the most stable polymorph in this dataset (meV per atom) = 401
- SG = I-4m2, No. 119
- magnetization (μB per formula unit) = 0.6
- DFT total energy (Ry per atom) = -0.3720

Unit cell a=4.8367 b=4.8367 c=4.8367 alpha=127.36 beta=127.36 gamma=77.67
Last column: nearest neighbours and their distance in Å.
Sites, in units of the cell vectors:
Cd 0.0000 0.0000 0.0000  4 W 2.85, 4 Cd 2.85, 4 Rh 3.03
Cd 0.2500 0.7500 0.5000  4 Cd 2.85, 4 Rh 2.85, 4 W 3.03
Rh 0.5000 0.5000 0.0000  4 W 2.85, 8 Cd 2.85-3.03
W 0.7500 0.2500 0.5000  8 Cd 2.85-3.03, 4 Rh 2.85


(3)
Here is a geometry-optimized Cd2RhW structure from the Alexandria database. Energies are from PBE-GGA.

Results
- energy above the most stable polymorph in this dataset (meV per atom) = 328
- SG = Cmmm, No. 65
- magnetization (μB per formula unit) = 0.0
- DFT total energy (Ry per atom) = -0.3773

Unit cell a=2.8081 b=2.8081 c=9.2957 alpha=90.00 beta=90.00 gamma=108.03
Last column: nearest neighbours and their distance in Å.
Sites, in units of the cell vectors:
Cd 0.0000 0.0000 0.2608  2 Rh 2.77, 4 Cd 2.81, 2 W 2.93
Cd 0.0000 0.0000 0.7392  2 Rh 2.77, 4 Cd 2.81, 2 W 2.93
Rh 0.5000 0.5000 0.5000  4 Cd 2.77, 4 Rh 2.81
W 0.5000 0.5000 0.0000  4 W 2.81, 4 Cd 2.93


(4)
Here is a geometry-optimized CdRh2W structure from the Alexandria database. Energies are from PBE-GGA.

Results
- energy above the most stable polymorph in this dataset (meV per atom) = 251
- SG = Cm, No. 8
- magnetization (μB per formula unit) = 0.0
- DFT total energy (Ry per atom) = -0.5214

Unit cell a=4.9830 b=4.9830 c=4.7818 alpha=79.43 beta=79.43 gamma=33.00
Last column: nearest neighbours and their distance in Å.
Sites, in units of the cell vectors:
Cd 0.2547 0.2547 0.2201  7 Rh 2.71-2.81, 2 Cd 2.83, 1 W 2.95
Rh 0.0083 0.0083 0.0183  3 Cd 2.71-2.81, 4 W 2.71-2.86, 4 Rh 2.83-2.84
Rh 0.7488 0.7488 0.7178  3 W 2.68-2.77, 4 Cd 2.76-2.80, 4 Rh 2.83-2.84
W 0.4882 0.4882 0.5438  7 Rh 2.68-2.86, 2 W 2.83, 1 Cd 2.95


(5)
Here is a geometry-optimized Cd2RhW structure from the Alexandria database. Energies are from PBE-GGA.

Results
- energy above the most stable polymorph in this dataset (meV per atom) = 221
- SG = Cm, No. 8
- magnetization (μB per formula unit) = 0.0
- DFT total energy (Ry per atom) = -0.3852

Unit cell a=4.8301 b=4.8301 c=5.3614 alpha=82.83 beta=82.83 gamma=34.45
Last column: nearest neighbours and their distance in Å.
Sites, in units of the cell vectors:
Cd 0.9985 0.9985 0.9946  5 Cd 2.73-2.91, 2 Rh 2.88, 3 W 2.93-3.00
Cd 0.7542 0.7542 0.7576  5 Cd 2.73-2.91, 2 W 2.91, 3 Rh 2.97-2.99
Rh 0.5014 0.5014 0.4609  3 W 2.65-2.73, 2 Rh 2.86, 2 Cd 2.88
W 0.2459 0.2459 0.2869  3 Rh 2.65-2.73, 2 W 2.86, 3 Cd 2.91-2.93


(6)
Here is a geometry-optimized Cd2RhW structure from the Alexandria database. Energies are from PBE-GGA.

Results
- energy above the most stable polymorph in this dataset (meV per atom) = 0
- SG = P4mm, No. 99
- magnetization (μB per formula unit) = 0.0
- DFT total energy (Ry per atom) = -0.4015

Unit cell a=2.9184 b=2.9184 c=8.3663 alpha=90.00 beta=90.00 gamma=90.00
Last column: nearest neighbours and their distance in Å.
Sites, in units of the cell vectors:
Cd 0.0000 0.0000 0.9816  8 Cd 2.92-3.21, 4 W 3.00
Cd 0.5000 0.5000 0.2755  8 Cd 2.92-3.21, 4 Rh 2.92
Rh 0.0000 0.0000 0.5224  4 W 2.65, 4 Rh 2.92, 4 Cd 2.92
W 0.5000 0.5000 0.7205  4 Rh 2.65, 4 W 2.92


(7)
Here is a geometry-optimized CdRh2W structure from the Alexandria database. Energies are from PBE-GGA.

Results
- energy above the most stable polymorph in this dataset (meV per atom) = 386
- SG = P4mm, No. 99
- magnetization (μB per formula unit) = 0.0
- DFT total energy (Ry per atom) = -0.5115

Unit cell a=2.8106 b=2.8106 c=8.1102 alpha=90.00 beta=90.00 gamma=90.00
Last column: nearest neighbours and their distance in Å.
Sites, in units of the cell vectors:
Cd 0.5000 0.5000 0.7601  4 Cd 2.81, 4 Rh 2.85, 4 W 3.05
Rh 0.0000 0.0000 0.0117  8 Rh 2.79-2.81, 4 Cd 2.85
Rh 0.5000 0.5000 0.2531  4 W 2.68, 8 Rh 2.79-2.81
W 0.0000 0.0000 0.4751  4 Rh 2.68, 4 W 2.81


(8)
Here is a geometry-optimized Cd2RhW structure from the Alexandria database. Energies are from PBE-GGA.

Results
- energy above the most stable polymorph in this dataset (meV per atom) = 347
- SG = Pmmm, No. 47
- magnetization (μB per formula unit) = 0.0
- DFT total energy (Ry per atom) = -0.3759

Unit cell a=2.9266 b=4.8274 c=4.9430 alpha=90.00 beta=90.00 gamma=90.00
Last column: nearest neighbours and their distance in Å.
Sites, in units of the cell vectors:
Cd 0.0000 0.0000 0.0000  6 Cd 2.82-2.93, 4 Rh 2.87
Cd 0.5000 0.5000 0.0000  6 Cd 2.82-2.93, 4 W 2.87
Rh 0.5000 0.0000 0.5000  4 W 2.82, 4 Cd 2.87, 2 Rh 2.93
W 0.0000 0.5000 0.5000  4 Rh 2.82, 4 Cd 2.87, 2 W 2.93